Y3Sc3Ni | GGA-PBE | relaxed

Results
* ΔH_f (0 K): -0.4 eV/f.u.
* space group: C2/m
* uncorrected energy: -44.37 eV per formula unit
* size of the total moment: 0.01 μB/f.u.

abc: 6.0248 6.0248 13.8108
angles: 98.90 98.90 46.27
Fractional positions:
1 Ni 0.3469 0.3469 0.1373
2 Ni 0.6531 0.6531 0.8627
3 Sc 0.5725 0.5725 0.1379
4 Sc 0.4275 0.4275 0.8621
5 Sc 0.0970 0.0970 0.7661
6 Sc 0.9030 0.9030 0.2339
7 Sc 0.1549 0.1549 0.5378
8 Sc 0.8451 0.8451 0.4622
9 Y 0.8536 0.8536 0.0098
10 Y 0.4673 0.4673 0.6183
11 Y 0.1464 0.1464 0.9902
12 Y 0.2198 0.2198 0.2929
13 Y 0.5327 0.5327 0.3817
14 Y 0.7802 0.7802 0.7071

***

YScZnNi2 | GGA-PBE | relaxed

Results
* ΔH_f (0 K): -2.4 eV/f.u.
* space group: Imm2
* uncorrected energy: -27.55 eV per formula unit
* size of the total moment: 0.00 μB/f.u.

abc: 5.1543 5.1543 5.1543
angles: 131.99 118.37 81.71
Fractional positions:
1 Ni 0.2703 0.4992 0.7711
2 Ni 0.7281 0.4992 0.2289
3 Sc 0.7052 0.2052 0.5000
4 Zn 0.9996 0.9996 0.0000
5 Y 0.2968 0.7968 0.5000

***

ScZn3Ni | GGA-PBE | relaxed

Results
* ΔH_f (0 K): -1.7 eV/f.u.
* space group: Pm-3m
* uncorrected energy: -17.42 eV per formula unit
* size of the total moment: 0.00 μB/f.u.

abc: 6.1122 6.1122 6.1122
angles: 90.00 90.00 90.00
Fractional positions:
1 Zn 0.2150 0.7850 0.2150
2 Zn 0.7850 0.7850 0.2150
3 Zn 0.2150 0.2150 0.2150
4 Zn 0.2150 0.2150 0.7850
5 Zn 0.7850 0.7850 0.7850
6 Zn 0.7850 0.2150 0.7850
7 Zn 0.7850 0.2150 0.2150
8 Zn 0.5000 0.5000 0.5000
9 Zn 0.2150 0.7850 0.7850
10 Ni 0.0000 0.0000 0.5000
11 Ni 0.5000 0.0000 0.0000
12 Ni 0.0000 0.5000 0.0000
13 Sc 0.5000 0.0000 0.5000
14 Sc 0.0000 0.5000 0.5000
15 Sc 0.5000 0.5000 0.0000

***

ScZnNi2 | GGA-PBE | relaxed

Results
* ΔH_f (0 K): -1.1 eV/f.u.
* space group: F-43m
* uncorrected energy: -19.78 eV per formula unit
* size of the total moment: 0.00 μB/f.u.

abc: 4.2943 4.2943 4.2943
angles: 60.00 60.00 60.00
Fractional positions:
1 Zn 0.5000 0.5000 0.5000
2 Ni 0.0000 0.0000 0.0000
3 Ni 0.7500 0.7500 0.7500
4 Sc 0.2500 0.2500 0.2500